Entry 1:
First-principles (meta-GGA SCAN) data for Mo3W at its PBEsol-relaxed geometry, as listed in the Alexandria database.

SG: Cmcm, No. 63
Formation energy from the elements in kcal/mol of atoms: -0.1
DOS at the Fermi energy in states/eV/f.u.: 1.984
Energy above the lowest structure with this stoichiometry in eV/atom: 0.0005
Spin magnetization in μB/cell: 0.000

a = 4.432 Å, b = 5.426 Å, c = 5.426 Å
α = 109.50°, β = 90.00°, γ = 90.00°
Atoms (fractional coordinates):
Mo1 0.750 0.374 0.125
Mo2 0.750 0.875 0.125
Mo3 0.250 0.125 0.374
Mo4 0.750 0.875 0.626
Mo5 0.250 0.125 0.875
Mo6 0.250 0.626 0.875
W1 0.250 0.625 0.375
W2 0.750 0.375 0.625

---

Entry 2:
First-principles (meta-GGA SCAN) data for Ta2PtCl at its PBEsol-relaxed geometry, as listed in the Alexandria database.

SG: P4/mmm, No. 123
Energy relative to the elements, uncorrected in eV per atom: -0.1414
DOS at the Fermi energy in states/eV/f.u.: 1.943
Energy above the lowest structure with this stoichiometry in eV/atom: 0.0000
Spin magnetization in μB/cell: 0.000

a = 2.950 Å, b = 2.950 Å, c = 7.055 Å
α = 90.00°, β = 90.00°, γ = 90.00°
Atoms (fractional coordinates):
Cl1 0.500 0.500 0.000
Pt1 0.500 0.500 0.500
Ta1 0.000 0.000 0.764
Ta2 0.000 0.000 0.236